# Cs5La2I12 | Alexandria | PBE | relaxed
# - formation energy (no corrections) (eV per atom) = -1.415
# - total magnetic moment (μB per atom) = 0.00
# - final energy (eV/atom) = -3.14
data_Cs5La2I12
_symmetry_space_group_name_H-M 'C 1 2/m 1'
_symmetry_Int_Tables_number 12
_cell_length_a 19.159
_cell_length_b 11.270
_cell_length_c 13.544
_cell_angle_alpha 90.00
_cell_angle_beta 134.97
_cell_angle_gamma 90.00
loop_
_symmetry_equiv_pos_as_xyz
'x,y,z'
'-x,-y,-z'
'-x,y,-z'
'x,-y,z'
'x+1/2,y+1/2,z'
'-x+1/2,-y+1/2,-z'
'-x+1/2,y+1/2,-z'
'x+1/2,-y+1/2,z'
loop_
_atom_site_label
_atom_site_type_symbol
_atom_site_fract_x
_atom_site_fract_y
_atom_site_fract_z
Cs1 Cs 0.000 0.000 0.000
Cs2 Cs 0.248 0.500 0.000
Cs3 Cs 0.249 0.500 0.498
La1 La 0.000 0.250 0.500
I1 I 0.000 0.184 0.264
I2 I 0.000 0.500 0.360
I3 I 0.140 0.000 0.639
I4 I 0.236 0.316 0.736

# NbGeMo | Alexandria | PBE | relaxed
# - DFT formation energy (eV per atom) = -0.241
# - total magnetic moment (μB per atom) = 0.00
# - final energy (eV/atom) = -8.75
data_NbGeMo
_symmetry_space_group_name_H-M 'P m m a'
_symmetry_Int_Tables_number 51
_cell_length_a 12.239
_cell_length_b 3.427
_cell_length_c 7.057
_cell_angle_alpha 90.00
_cell_angle_beta 90.00
_cell_angle_gamma 90.00
loop_
_symmetry_equiv_pos_as_xyz
'x,y,z'
'-x,-y,-z'
'-x+1/2,-y,z'
'x+1/2,y,-z'
'x+1/2,-y,-z'
'-x+1/2,y,z'
'-x,y,-z'
'x,-y,z'
loop_
_atom_site_label
_atom_site_type_symbol
_atom_site_fract_x
_atom_site_fract_y
_atom_site_fract_z
Nb1 Nb 0.049 0.000 0.247
Nb2 Nb 0.250 0.000 0.834
Ge1 Ge 0.096 0.500 0.937
Ge2 Ge 0.250 0.000 0.447
Mo1 Mo 0.112 0.500 0.567
Mo2 Mo 0.250 0.500 0.186

# TbZr2Hg | Alexandria | PBE | relaxed
# - DFT formation energy (eV per atom) = 0.248
# - total magnetic moment (μB per atom) = 0.00
# - final energy (eV/atom) = -5.26
# - relative energy among the computed polymorphs (eV per atom) = 0.3092
data_TbZr2Hg
_symmetry_space_group_name_H-M 'R -3 m'
_symmetry_Int_Tables_number 166
_symmetry_space_group_name_Hall '-R 3 2"'
_cell_length_a 3.1694
_cell_length_b 3.1694
_cell_length_c 34.5222
_cell_angle_alpha 90.00
_cell_angle_beta 90.00
_cell_angle_gamma 120.00
loop_
_atom_site_label
_atom_site_type_symbol
_atom_site_fract_x
_atom_site_fract_y
_atom_site_fract_z
Tb1 Tb 0.0000 0.0000 0.0000
Zr1 Zr 0.0000 0.0000 0.0932
Hg1 Hg 0.0000 0.0000 0.5000

# CsZr3Br | Alexandria | PBE | relaxed
# - formation energy (no corrections) (eV per atom) = 0.868
# - total magnetic moment (μB per atom) = 0.00
# - final energy (eV/atom) = -4.77
# - relative energy among the computed polymorphs (eV per atom) = 0.0000
data_CsZr3Br
_symmetry_space_group_name_H-M 'P m -3 m'
_symmetry_Int_Tables_number 221
_symmetry_space_group_name_Hall '-P 4 2 3'
_cell_length_a 5.244
_cell_length_b 5.244
_cell_length_c 5.244
_cell_angle_alpha 90.00
_cell_angle_beta 90.00
_cell_angle_gamma 90.00
loop_
_atom_site_label
_atom_site_type_symbol
_atom_site_fract_x
_atom_site_fract_y
_atom_site_fract_z
Cs1 Cs 0.000 0.000 0.000
Zr1 Zr 0.000 0.500 0.500
Br1 Br 0.500 0.500 0.500

# Mg6Bi2HRh | Alexandria | PBE | relaxed
# - total magnetic moment (μB per atom) = 0.00
# - final energy (eV/atom) = -2.89
data_Mg6Bi2HRh
_symmetry_space_group_name_H-M 'C 1 2/m 1'
_symmetry_Int_Tables_number 12
_cell_length_a 9.498
_cell_length_b 9.520
_cell_length_c 6.725
_cell_angle_alpha 90.00
_cell_angle_beta 134.65
_cell_angle_gamma 90.00
loop_
_symmetry_equiv_pos_as_xyz
'x,y,z'
'-x,-y,-z'
'-x,y,-z'
'x,-y,z'
'x+1/2,y+1/2,z'
'-x+1/2,-y+1/2,-z'
'-x+1/2,y+1/2,-z'
'x+1/2,-y+1/2,z'
loop_
_atom_site_label
_atom_site_type_symbol
_atom_site_fract_x
_atom_site_fract_y
_atom_site_fract_z
Mg1 Mg 0.000 0.238 0.000
Mg2 Mg 0.237 0.000 0.999
Mg3 Mg 0.238 0.000 0.477
Bi1 Bi 0.000 0.252 0.500
H1 H 0.000 0.000 0.000
Rh1 Rh 0.000 0.500 0.000

# PuGaHgGe | Alexandria | PBE | relaxed
# - DFT formation energy (eV per atom) = -0.105
# - total magnetic moment (μB per atom) = 1.37
# - final energy (eV/atom) = -5.67
data_PuGaHgGe
_symmetry_space_group_name_H-M 'F -4 3 m'
_symmetry_Int_Tables_number 216
_symmetry_space_group_name_Hall 'F -4 2 3'
_cell_length_a 7.021
_cell_length_b 7.021
_cell_length_c 7.021
_cell_angle_alpha 90.00
_cell_angle_beta 90.00
_cell_angle_gamma 90.00
loop_
_atom_site_label
_atom_site_type_symbol
_atom_site_fract_x
_atom_site_fract_y
_atom_site_fract_z
Pu1 Pu 0.000 0.000 0.000
Ga1 Ga 0.250 0.250 0.250
Hg1 Hg 0.000 0.000 0.500
Ge1 Ge 0.250 0.250 0.750

# Cu4Br5Cl | Alexandria | PBE | relaxed
# - formation energy (no corrections) (eV per atom) = -0.317
# - total magnetic moment (μB per atom) = 0.08
# - final energy (eV/atom) = -2.98
data_Cu4Br5Cl
_symmetry_space_group_name_H-M 'P m m n'
_symmetry_Int_Tables_number 59
_cell_length_a 7.382
_cell_length_b 11.312
_cell_length_c 6.255
_cell_angle_alpha 90.00
_cell_angle_beta 90.00
_cell_angle_gamma 90.00
loop_
_symmetry_equiv_pos_as_xyz
'x,y,z'
'-x,-y,-z'
'-x+1/2,-y+1/2,z'
'x+1/2,y+1/2,-z'
'x+1/2,-y,-z'
'-x+1/2,y,z'
'-x,y+1/2,-z'
'x,-y+1/2,z'
loop_
_atom_site_label
_atom_site_type_symbol
_atom_site_fract_x
_atom_site_fract_y
_atom_site_fract_z
Cu1 Cu 0.007 0.250 0.026
Cu2 Cu 0.250 0.507 0.492
Br1 Br 0.000 0.083 0.285
Br2 Br 0.250 0.750 0.206
Cl1 Cl 0.250 0.250 0.814

# MnAl5 | Alexandria | PBE | relaxed
# - DFT formation energy (eV per atom) = 0.178
# - total magnetic moment (μB per atom) = 0.45
# - final energy (eV/atom) = -4.47
data_MnAl5
_symmetry_space_group_name_H-M 'F -4 3 m'
_symmetry_Int_Tables_number 216
_symmetry_space_group_name_Hall 'F -4 2 3'
_cell_length_a 7.322
_cell_length_b 7.322
_cell_length_c 7.322
_cell_angle_alpha 90.00
_cell_angle_beta 90.00
_cell_angle_gamma 90.00
loop_
_atom_site_label
_atom_site_type_symbol
_atom_site_fract_x
_atom_site_fract_y
_atom_site_fract_z
Mn1 Mn 0.000 0.000 0.000
Al1 Al 0.125 0.125 0.625
Al2 Al 0.250 0.250 0.250

# ZrC3Se | Alexandria | PBE | relaxed
# - formation energy (no corrections) (eV per atom) = 2.012
# - total magnetic moment (μB per atom) = 0.00
# - final energy (eV/atom) = -5.93
# - relative energy among the computed polymorphs (eV per atom) = 0.0000
data_ZrC3Se
_symmetry_space_group_name_H-M 'P m -3 m'
_symmetry_Int_Tables_number 221
_symmetry_space_group_name_Hall '-P 4 2 3'
_cell_length_a 3.891
_cell_length_b 3.891
_cell_length_c 3.891
_cell_angle_alpha 90.00
_cell_angle_beta 90.00
_cell_angle_gamma 90.00
loop_
_atom_site_label
_atom_site_type_symbol
_atom_site_fract_x
_atom_site_fract_y
_atom_site_fract_z
Zr1 Zr 0.000 0.000 0.000
C1 C 0.000 0.500 0.500
Se1 Se 0.500 0.500 0.500

# SrAcCu | Alexandria | PBE | relaxed
# - DFT formation energy (eV per atom) = -0.042
# - total magnetic moment (μB per atom) = 0.00
# - final energy (eV/atom) = -3.34
# - relative energy among the computed polymorphs (eV per atom) = 0.0308
data_SrAcCu
_symmetry_space_group_name_H-M 'C 1 2/m 1'
_symmetry_Int_Tables_number 12
_cell_length_a 14.153
_cell_length_b 4.068
_cell_length_c 9.264
_cell_angle_alpha 90.00
_cell_angle_beta 126.76
_cell_angle_gamma 90.00
loop_
_symmetry_equiv_pos_as_xyz
'x,y,z'
'-x,-y,-z'
'-x,y,-z'
'x,-y,z'
'x+1/2,y+1/2,z'
'-x+1/2,-y+1/2,-z'
'-x+1/2,y+1/2,-z'
'x+1/2,-y+1/2,z'
loop_
_atom_site_label
_atom_site_type_symbol
_atom_site_fract_x
_atom_site_fract_y
_atom_site_fract_z
Sr1 Sr 0.167 0.000 0.075
Ac1 Ac 0.093 0.500 0.406
Cu1 Cu 0.105 0.000 0.669

# MgRuAu | Alexandria | PBE | relaxed
# - DFT formation energy (eV per atom) = 0.048
# - total magnetic moment (μB per atom) = 0.30
# - final energy (eV/atom) = -4.67
# - relative energy among the computed polymorphs (eV per atom) = 0.0000
data_MgRuAu
_symmetry_space_group_name_H-M 'I 4 m m'
_symmetry_Int_Tables_number 107
_symmetry_space_group_name_Hall 'I 4 -2'
_cell_length_a 2.826
_cell_length_b 2.826
_cell_length_c 12.324
_cell_angle_alpha 90.00
_cell_angle_beta 90.00
_cell_angle_gamma 90.00
loop_
_atom_site_label
_atom_site_type_symbol
_atom_site_fract_x
_atom_site_fract_y
_atom_site_fract_z
Mg1 Mg 0.000 0.000 0.000
Ru1 Ru 0.000 0.000 0.341
Au1 Au 0.000 0.000 0.673

# TcNiP | Alexandria | PBE | relaxed
# - DFT formation energy (eV per atom) = -0.157
# - total magnetic moment (μB per atom) = 0.00
# - final energy (eV/atom) = -7.34
# - relative energy among the computed polymorphs (eV per atom) = 0.3455
data_TcNiP
_symmetry_space_group_name_H-M 'I 4 m m'
_symmetry_Int_Tables_number 107
_symmetry_space_group_name_Hall 'I 4 -2'
_cell_length_a 2.911
_cell_length_b 2.911
_cell_length_c 8.800
_cell_angle_alpha 90.00
_cell_angle_beta 90.00
_cell_angle_gamma 90.00
loop_
_atom_site_label
_atom_site_type_symbol
_atom_site_fract_x
_atom_site_fract_y
_atom_site_fract_z
Tc1 Tc 0.000 0.000 0.000
Ni1 Ni 0.000 0.000 0.299
P1 P 0.000 0.000 0.650

- The highest total magnetic moment belongs to which entry?
  PuGaHgGe

- Which of these has the highest total magnetic moment?
  PuGaHgGe

- total magnetic moment of number 5 (Mg6Bi2HRh)?
  0.00 μB per atom